# LaGa2IrCl PBE relaxed
data_LaGa2IrCl
_chemical_formula_sum 'La1 Ga2 Ir1 Cl1'
_space_group_name_H-M_alt 'P 4/m m m'
_space_group_IT_number 123
_space_group_name_Hall '-P 4 2'
_cell_length_a 4.7882
_cell_length_b 4.7882
_cell_length_c 5.6172
_cell_angle_alpha 90.00
_cell_angle_beta 90.00
_cell_angle_gamma 90.00
loop_
_atom_site_label
_atom_site_fract_x
_atom_site_fract_y
_atom_site_fract_z
_atom_site_occupancy
La1 0.0000 0.0000 0.0000 1
Ga1 0.0000 0.5000 0.5000 1
Ir1 0.0000 0.0000 0.5000 1
Cl1 0.5000 0.5000 0.0000 1
# Crystal system: tetragonal
# Uncorrected formation energy (eV per atom): -0.908